Material: AgAsOs2
Method: DFT, PBE-GGA
State: relaxed

Results
Calculated formation energy: 0.96 eV/atom
Size of the total moment: 0.000 μB/atom

```
AgAsOs2
1.0
3.969 0.000 0.000
0.000 3.969 0.000
1.984 1.984 9.271
Os As Ag
4 2 2
direct
0.540 0.125 0.250 Os
0.210 0.625 0.250 Os
0.875 0.790 0.750 Os
0.375 0.460 0.750 Os
0.250 0.750 0.500 As
0.500 0.500 0.000 As
0.750 0.250 0.500 Ag
0.000 0.000 0.000 Ag
```